Material: YZrCo3
Method: DFT, PBE
State: optimized geometry

Lattice parameters (Å, degrees): 4.6076 4.6076 4.6076 90.00 90.00 90.00
Positions (direct):
Y (0.0000, 0.0000, 0.0000)
Zr (0.5000, 0.5000, 0.5000)
Co (0.0000, 0.5000, 0.5000)
Co (0.5000, 0.0000, 0.5000)
Co (0.5000, 0.5000, 0.0000)

Formation energy = 0.6590 eV/atom
Space group = Pm-3m
Total moment = 0.3985 μB/atom

---

Material: Y2ZrCo9
Method: DFT, PBE
State: optimized geometry

Lattice parameters (Å, degrees): 8.6455 8.6455 8.6455 32.91 32.91 32.91
Positions (direct):
Y (0.1389, 0.1389, 0.1389)
Y (0.8611, 0.8611, 0.8611)
Zr (0.0000, 0.0000, 0.0000)
Co (0.0789, 0.5802, 0.5802)
Co (0.3342, 0.3342, 0.3342)
Co (0.4198, 0.4198, 0.9211)
Co (0.4198, 0.9211, 0.4198)
Co (0.5000, 0.5000, 0.5000)
Co (0.5802, 0.0789, 0.5802)
Co (0.5802, 0.5802, 0.0789)
Co (0.6658, 0.6658, 0.6658)
Co (0.9211, 0.4198, 0.4198)

Formation energy = -0.1601 eV/atom
Space group = R-3m
Total moment = 0.8108 μB/atom

---

Material: YZrCo
Method: DFT, PBE
State: optimized geometry

Lattice parameters (Å, degrees): 4.1921 4.1921 4.3597 90.00 90.00 120.00
Positions (direct):
Y (0.0000, 0.0000, 0.0000)
Zr (0.3333, 0.6667, 0.4947)
Co (0.6667, 0.3333, 0.5906)

Formation energy = 0.0602 eV/atom
Space group = P3m1
Total moment = 0.0000 μB/atom

---

Material: YZrCo
Method: DFT, PBE
State: optimized geometry

Lattice parameters (Å, degrees): 4.4667 4.4667 8.1244 105.87 105.87 60.28
Positions (direct):
Y (0.1233, 0.1233, 0.3669)
Y (0.8767, 0.8767, 0.6331)
Zr (0.2957, 0.2957, 0.8887)
Zr (0.7043, 0.7043, 0.1113)
Co (0.4075, 0.4075, 0.2193)
Co (0.5925, 0.5925, 0.7807)

Formation energy = -0.0237 eV/atom
Space group = C2/m
Total moment = 0.0000 μB/atom

---

Material: YZrCo
Method: DFT, PBE
State: optimized geometry

Lattice parameters (Å, degrees): 6.4988 5.8536 8.9434 90.00 126.77 90.00
Positions (direct):
Y (0.1862, 0.1321, 0.3928)
Y (0.1862, 0.3679, 0.8928)
Y (0.8138, 0.6321, 0.1072)
Y (0.8138, 0.8679, 0.6072)
Zr (0.3310, 0.6252, 0.6286)
Zr (0.3310, 0.8748, 0.1286)
Zr (0.6690, 0.1252, 0.8714)
Zr (0.6690, 0.3748, 0.3714)
Co (0.3382, 0.6414, 0.3555)
Co (0.3382, 0.8586, 0.8555)
Co (0.6618, 0.1414, 0.1445)
Co (0.6618, 0.3586, 0.6445)

Formation energy = -0.0597 eV/atom
Space group = P2_1/c
Total moment = 0.0000 μB/atom

---

Material: YZr4Co
Method: DFT, PBE
State: optimized geometry

Lattice parameters (Å, degrees): 5.8279 5.8279 5.8279 60.00 60.00 60.00
Positions (direct):
Y (0.0000, 0.0000, 0.0000)
Zr (0.1245, 0.6252, 0.6252)
Zr (0.6252, 0.1245, 0.6252)
Zr (0.6252, 0.6252, 0.1245)
Zr (0.6252, 0.6252, 0.6252)
Co (0.2500, 0.2500, 0.2500)

Formation energy = 0.5287 eV/atom
Space group = F-43m
Total moment = 0.0872 μB/atom

---

Material: YZrCo
Method: DFT, PBE
State: optimized geometry

Lattice parameters (Å, degrees): 6.2837 6.2837 6.2837 149.49 149.49 43.69
Positions (direct):
Y (0.0000, 0.0000, 0.0000)
Zr (0.2716, 0.2716, 0.0000)
Co (0.6670, 0.6670, 0.0000)

Formation energy = -0.0605 eV/atom
Space group = I4mm
Total moment = 0.0004 μB/atom

---

Material: YZr2Co3
Method: DFT, PBE
State: optimized geometry

Lattice parameters (Å, degrees): 3.2173 3.2173 9.8895 90.00 90.00 90.00
Positions (direct):
Y (0.0000, 0.0000, 0.0000)
Zr (0.0000, 0.0000, 0.3378)
Zr (0.0000, 0.0000, 0.6622)
Co (0.5000, 0.5000, 0.1959)
Co (0.5000, 0.5000, 0.5000)
Co (0.5000, 0.5000, 0.8041)

Formation energy = -0.2498 eV/atom
Space group = P4/mmm
Total moment = 0.0767 μB/atom